The following is a DFT calculation (PBE-GGA) of a geometry-optimized NaSmP2S6 structure.

Space-group type = P2_1/c
Uncorrected energy = -5.082 eV/atom

The structure in POSCAR format:
```
NaSmP2S6
1.0
11.948 0.000 0.000
0.000 7.419 0.000
-4.264 0.000 10.316
Na Sm P S
4 4 8 24
Direct
0.146 0.111 0.368
0.146 0.389 0.868
0.854 0.611 0.132
0.854 0.889 0.632
0.348 0.610 0.587
0.348 0.890 0.087
0.652 0.110 0.913
0.652 0.390 0.413
0.197 0.616 0.241
0.197 0.884 0.741
0.327 0.102 0.745
0.327 0.398 0.245
0.673 0.602 0.755
0.673 0.898 0.255
0.803 0.116 0.259
0.803 0.384 0.759
0.095 0.508 0.331
0.095 0.992 0.831
0.125 0.700 0.055
0.125 0.800 0.555
0.222 0.206 0.126
0.222 0.294 0.626
0.309 0.686 0.850
0.309 0.814 0.350
0.409 0.186 0.933
0.409 0.314 0.433
0.451 0.523 0.186
0.451 0.977 0.686
0.549 0.023 0.314
0.549 0.477 0.814
0.591 0.686 0.567
0.591 0.814 0.067
0.691 0.186 0.650
0.691 0.314 0.150
0.778 0.706 0.374
0.778 0.794 0.874
0.875 0.200 0.445
0.875 0.300 0.945
0.905 0.008 0.169
0.905 0.492 0.669
```